Mo2PdBrO | Alexandria | PBE+U | optimized geometry; total DFT energy (no corrections) = -3.881 eV/atom; volume = 140 Å³/cell; D(E_F) = 5.0 states/eV per cell
1.0
5.418 0.000 0.000
0.000 5.418 0.000
0.000 0.000 4.756
Mo Pd Br O
2 1 1 1
Cartesian
0.000 2.709 0.000
2.709 0.000 0.000
0.000 0.000 0.000
0.000 0.000 2.378
2.709 2.709 2.378